[1]
# KZn3Ni | Alexandria | PBE | optimized geometry
# V ... 107.8 Å³ per cell
# Total magnetic moment ... 0.00 μB/cell
# Formation energy from the elements ... -0.1 eV/f.u.
# Polymorph energy (0 for the lowest one) ... 0.000 eV per atom
# DOS(E_F) ... 0.40 states/eV/atom
# Theoretical density ... 4.53 g/cm3
data_KZn3Ni
_chemical_formula_sum 'K1 Zn3 Ni1'
_space_group_name_H-M_alt 'P m -3 m'
_space_group_IT_number 221
_space_group_name_Hall '-P 4 2 3'
_cell_length_a 4.759
_cell_length_b 4.759
_cell_length_c 4.759
_cell_angle_alpha 90.00
_cell_angle_beta 90.00
_cell_angle_gamma 90.00
loop_
_atom_site_label
_atom_site_type_symbol
_atom_site_fract_x
_atom_site_fract_y
_atom_site_fract_z
K1 K 0.000 0.000 0.000
Zn1 Zn 0.000 0.500 0.500
Ni1 Ni 0.500 0.500 0.500

---

[2]
# K2ZnNi | Alexandria | PBE | optimized geometry
# V ... 120.5 Å³ per cell
# Total magnetic moment ... 0.00 μB/cell
# Formation energy from the elements ... 1.0 eV/f.u.
# Polymorph energy (0 for the lowest one) ... 0.000 eV per atom
# DOS(E_F) ... 0.54 states/eV/atom
# Theoretical density ... 2.79 g/cm3
data_K2ZnNi
_chemical_formula_sum 'K2 Zn1 Ni1'
_space_group_name_H-M_alt 'P 4 m m'
_space_group_IT_number 99
_cell_length_a 3.485
_cell_length_b 3.485
_cell_length_c 9.920
_cell_angle_alpha 90.00
_cell_angle_beta 90.00
_cell_angle_gamma 90.00
loop_
_space_group_symop_operation_xyz
'x,y,z'
'-y,x,z'
'-x,-y,z'
'y,-x,z'
'-x,y,z'
'y,x,z'
'x,-y,z'
'-y,-x,z'
loop_
_atom_site_label
_atom_site_type_symbol
_atom_site_fract_x
_atom_site_fract_y
_atom_site_fract_z
K1 K 0.000 0.000 0.000
K2 K 0.500 0.500 0.419
Zn1 Zn 0.500 0.500 0.730
Ni1 Ni 0.000 0.000 0.693

---

[3]
# K2ZnNi | Alexandria | PBE | optimized geometry
# V ... 349.3 Å³ per cell
# Total magnetic moment ... 0.00 μB/cell
# Formation energy from the elements ... 2.9 eV/f.u.
# Polymorph energy (0 for the lowest one) ... 0.473 eV per atom
# DOS(E_F) ... 0.49 states/eV/atom
# Theoretical density ... 2.89 g/cm3
data_K2ZnNi
_chemical_formula_sum 'K6 Zn3 Ni3'
_space_group_name_H-M_alt 'R -3 m'
_space_group_IT_number 166
_space_group_name_Hall '-R 3 2"'
_cell_length_a 3.5030
_cell_length_b 3.5030
_cell_length_c 32.8648
_cell_angle_alpha 90.00
_cell_angle_beta 90.00
_cell_angle_gamma 120.00
loop_
_atom_site_label
_atom_site_type_symbol
_atom_site_fract_x
_atom_site_fract_y
_atom_site_fract_z
K1 K 0.0000 0.0000 0.2404
Zn1 Zn 0.0000 0.0000 0.0000
Ni1 Ni 0.0000 0.0000 0.5000

---

[4]
# K2ZnNi | Alexandria | PBE | optimized geometry
# V ... 262.7 Å³ per cell
# Total magnetic moment ... 0.00 μB/cell
# Formation energy from the elements ... 1.1 eV/f.u.
# Polymorph energy (0 for the lowest one) ... 0.032 eV per atom
# DOS(E_F) ... 0.57 states/eV/atom
# Theoretical density ... 2.56 g/cm3
data_K2ZnNi
_chemical_formula_sum 'K4 Zn2 Ni2'
_space_group_name_H-M_alt 'A m m 2'
_space_group_IT_number 38
_cell_length_a 4.607
_cell_length_b 5.428
_cell_length_c 10.506
_cell_angle_alpha 90.00
_cell_angle_beta 90.00
_cell_angle_gamma 90.00
loop_
_space_group_symop_operation_xyz
'x,y,z'
'-x,-y,z'
'-x,y,z'
'x,-y,z'
'x,y+1/2,z+1/2'
'-x,-y+1/2,z+1/2'
'-x,y+1/2,z+1/2'
'x,-y+1/2,z+1/2'
loop_
_atom_site_label
_atom_site_type_symbol
_atom_site_fract_x
_atom_site_fract_y
_atom_site_fract_z
K1 K 0.000 0.000 0.000
K2 K 0.500 0.000 0.315
Zn1 Zn 0.500 0.000 0.638
Ni1 Ni 0.000 0.000 0.675

---

[5]
# KZnNi | Alexandria | PBE | optimized geometry
# V ... 131.1 Å³ per cell
# Total magnetic moment ... 0.00 μB/cell
# Formation energy from the elements ... 0.6 eV/f.u.
# Polymorph energy (0 for the lowest one) ... 0.000 eV per atom
# DOS(E_F) ... 0.39 states/eV/atom
# Theoretical density ... 4.13 g/cm3
data_KZnNi
_chemical_formula_sum 'K2 Zn2 Ni2'
_space_group_name_H-M_alt 'I m m 2'
_space_group_IT_number 44
_cell_length_a 2.894
_cell_length_b 3.876
_cell_length_c 11.689
_cell_angle_alpha 90.00
_cell_angle_beta 90.00
_cell_angle_gamma 90.00
loop_
_space_group_symop_operation_xyz
'x,y,z'
'-x,-y,z'
'-x,y,z'
'x,-y,z'
'x+1/2,y+1/2,z+1/2'
'-x+1/2,-y+1/2,z+1/2'
'-x+1/2,y+1/2,z+1/2'
'x+1/2,-y+1/2,z+1/2'
loop_
_atom_site_label
_atom_site_type_symbol
_atom_site_fract_x
_atom_site_fract_y
_atom_site_fract_z
K1 K 0.000 0.000 0.000
Zn1 Zn 0.000 0.000 0.267
Ni1 Ni 0.000 0.000 0.735

---

[6]
# K2ZnNi | Alexandria | PBE | optimized geometry
# V ... 209.0 Å³ per cell
# Total magnetic moment ... 0.00 μB/cell
# Formation energy from the elements ... 2.2 eV/f.u.
# Polymorph energy (0 for the lowest one) ... 0.293 eV per atom
# DOS(E_F) ... 0.38 states/eV/atom
# Theoretical density ... 3.21 g/cm3
data_K2ZnNi
_chemical_formula_sum 'K4 Zn2 Ni2'
_space_group_name_H-M_alt 'I -4 m 2'
_space_group_IT_number 119
_space_group_name_Hall 'I -4 -2'
_cell_length_a 5.290
_cell_length_b 5.290
_cell_length_c 7.470
_cell_angle_alpha 90.00
_cell_angle_beta 90.00
_cell_angle_gamma 90.00
loop_
_atom_site_label
_atom_site_type_symbol
_atom_site_fract_x
_atom_site_fract_y
_atom_site_fract_z
K1 K 0.000 0.000 0.000
K2 K 0.000 0.500 0.250
Zn1 Zn 0.000 0.500 0.750
Ni1 Ni 0.000 0.000 0.500

---

[7]
# KZnNi4 | Alexandria | PBE | optimized geometry
# V ... 348.6 Å³ per cell
# Total magnetic moment ... 5.12 μB/cell
# Formation energy from the elements ... 2.4 eV/f.u.
# DOS(E_F) ... 1.27 states/eV/atom
# Theoretical density ... 6.46 g/cm3
data_KZnNi4
_chemical_formula_sum 'K4 Zn4 Ni16'
_space_group_name_H-M_alt 'F -4 3 m'
_space_group_IT_number 216
_space_group_name_Hall 'F -4 2 3'
_cell_length_a 7.038
_cell_length_b 7.038
_cell_length_c 7.038
_cell_angle_alpha 90.00
_cell_angle_beta 90.00
_cell_angle_gamma 90.00
loop_
_atom_site_label
_atom_site_type_symbol
_atom_site_fract_x
_atom_site_fract_y
_atom_site_fract_z
K1 K 0.000 0.000 0.000
Zn1 Zn 0.250 0.250 0.250
Ni1 Ni 0.124 0.124 0.624

---

[8]
# K2ZnNi | Alexandria | PBE | optimized geometry
# V ... 247.9 Å³ per cell
# Total magnetic moment ... 0.00 μB/cell
# Formation energy from the elements ... 1.3 eV/f.u.
# Polymorph energy (0 for the lowest one) ... 0.063 eV per atom
# DOS(E_F) ... 0.32 states/eV/atom
# Theoretical density ... 2.71 g/cm3
data_K2ZnNi
_chemical_formula_sum 'K4 Zn2 Ni2'
_space_group_name_H-M_alt 'C 1 m 1'
_space_group_IT_number 8
_cell_length_a 12.205
_cell_length_b 4.085
_cell_length_c 5.586
_cell_angle_alpha 90.00
_cell_angle_beta 117.11
_cell_angle_gamma 90.00
loop_
_space_group_symop_operation_xyz
'x,y,z'
'x,-y,z'
'x+1/2,y+1/2,z'
'x+1/2,-y+1/2,z'
loop_
_atom_site_label
_atom_site_type_symbol
_atom_site_fract_x
_atom_site_fract_y
_atom_site_fract_z
K1 K 0.000 0.000 0.000
K2 K 0.199 0.000 0.699
Zn1 Zn 0.297 0.500 0.295
Ni1 Ni 0.402 0.000 0.403

---

[9]
# K2ZnNi | Alexandria | PBE | optimized geometry
# V ... 499.8 Å³ per cell
# Total magnetic moment ... 0.47 μB/cell
# Formation energy from the elements ... 2.3 eV/f.u.
# Polymorph energy (0 for the lowest one) ... 0.331 eV per atom
# DOS(E_F) ... 1.55 states/eV/atom
# Theoretical density ... 2.69 g/cm3
data_K2ZnNi
_chemical_formula_sum 'K8 Zn4 Ni4'
_space_group_name_H-M_alt 'F m -3 m'
_space_group_IT_number 225
_space_group_name_Hall '-F 4 2 3'
_cell_length_a 7.936
_cell_length_b 7.936
_cell_length_c 7.936
_cell_angle_alpha 90.00
_cell_angle_beta 90.00
_cell_angle_gamma 90.00
loop_
_atom_site_label
_atom_site_type_symbol
_atom_site_fract_x
_atom_site_fract_y
_atom_site_fract_z
K1 K 0.250 0.250 0.250
Zn1 Zn 0.000 0.000 0.000
Ni1 Ni 0.000 0.000 0.500

---

[10]
# KZnNi | Alexandria | PBE | optimized geometry
# V ... 75.9 Å³ per cell
# Total magnetic moment ... 0.00 μB/cell
# Formation energy from the elements ... 0.9 eV/f.u.
# Polymorph energy (0 for the lowest one) ... 0.116 eV per atom
# DOS(E_F) ... 0.43 states/eV/atom
# Theoretical density ... 3.57 g/cm3
data_KZnNi
_chemical_formula_sum 'K1 Zn1 Ni1'
_space_group_name_H-M_alt 'P -6 m 2'
_space_group_IT_number 187
_space_group_name_Hall 'P -6 2'
_cell_length_a 4.1313
_cell_length_b 4.1313
_cell_length_c 5.1319
_cell_angle_alpha 90.00
_cell_angle_beta 90.00
_cell_angle_gamma 120.00
loop_
_atom_site_label
_atom_site_type_symbol
_atom_site_fract_x
_atom_site_fract_y
_atom_site_fract_z
K1 K 0.0000 0.0000 0.0000
Zn1 Zn 0.3333 0.6667 0.5000
Ni1 Ni 0.6667 0.3333 0.5000

---

[11]
# K2ZnNi | Alexandria | PBE | optimized geometry
# V ... 125.7 Å³ per cell
# Total magnetic moment ... 0.45 μB/cell
# Formation energy from the elements ... 2.4 eV/f.u.
# Polymorph energy (0 for the lowest one) ... 0.350 eV per atom
# DOS(E_F) ... 2.12 states/eV/atom
# Theoretical density ... 2.67 g/cm3
data_K2ZnNi
_chemical_formula_sum 'K2 Zn1 Ni1'
_space_group_name_H-M_alt 'P 4/m m m'
_space_group_IT_number 123
_space_group_name_Hall '-P 4 2'
_cell_length_a 5.431
_cell_length_b 5.431
_cell_length_c 4.263
_cell_angle_alpha 90.00
_cell_angle_beta 90.00
_cell_angle_gamma 90.00
loop_
_atom_site_label
_atom_site_type_symbol
_atom_site_fract_x
_atom_site_fract_y
_atom_site_fract_z
K1 K 0.000 0.500 0.000
Zn1 Zn 0.000 0.000 0.500
Ni1 Ni 0.500 0.500 0.500

---

[12]
# K2ZnNi | Alexandria | PBE | optimized geometry
# V ... 121.1 Å³ per cell
# Total magnetic moment ... 0.36 μB/cell
# Formation energy from the elements ... 2.4 eV/f.u.
# Polymorph energy (0 for the lowest one) ... 0.349 eV per atom
# DOS(E_F) ... 1.36 states/eV/atom
# Theoretical density ... 2.77 g/cm3
data_K2ZnNi
_chemical_formula_sum 'K2 Zn1 Ni1'
_space_group_name_H-M_alt 'P 1 2/m 1'
_space_group_IT_number 10
_cell_length_a 3.264
_cell_length_b 4.200
_cell_length_c 8.831
_cell_angle_alpha 90.00
_cell_angle_beta 90.05
_cell_angle_gamma 90.00
loop_
_space_group_symop_operation_xyz
'x,y,z'
'-x,-y,-z'
'-x,y,-z'
'x,-y,z'
loop_
_atom_site_label
_atom_site_type_symbol
_atom_site_fract_x
_atom_site_fract_y
_atom_site_fract_z
K1 K 0.000 0.000 0.221
Zn1 Zn 0.500 0.500 0.500
Ni1 Ni 0.500 0.500 0.000

---

[13]
# KZn3Ni | Alexandria | PBE | optimized geometry
# V ... 239.0 Å³ per cell
# Total magnetic moment ... 1.06 μB/cell
# Formation energy from the elements ... 6.9 eV/f.u.
# Polymorph energy (0 for the lowest one) ... 1.391 eV per atom
# DOS(E_F) ... 4.51 states/eV/atom
# Theoretical density ... 2.04 g/cm3
data_KZn3Ni
_chemical_formula_sum 'K1 Zn3 Ni1'
_space_group_name_H-M_alt 'P m -3 m'
_space_group_IT_number 221
_space_group_name_Hall '-P 4 2 3'
_cell_length_a 6.206
_cell_length_b 6.206
_cell_length_c 6.206
_cell_angle_alpha 90.00
_cell_angle_beta 90.00
_cell_angle_gamma 90.00
loop_
_atom_site_label
_atom_site_type_symbol
_atom_site_fract_x
_atom_site_fract_y
_atom_site_fract_z
K1 K 0.000 0.000 0.000
Zn1 Zn 0.000 0.000 0.500
Ni1 Ni 0.500 0.500 0.500

---

[14]
# KZnNi | Alexandria | PBE | optimized geometry
# V ... 293.4 Å³ per cell
# Total magnetic moment ... 0.81 μB/cell
# Formation energy from the elements ... 2.0 eV/f.u.
# Polymorph energy (0 for the lowest one) ... 0.474 eV per atom
# DOS(E_F) ... 0.81 states/eV/atom
# Theoretical density ... 3.69 g/cm3
data_KZnNi
_chemical_formula_sum 'K4 Zn4 Ni4'
_space_group_name_H-M_alt 'F -4 3 m'
_space_group_IT_number 216
_space_group_name_Hall 'F -4 2 3'
_cell_length_a 6.645
_cell_length_b 6.645
_cell_length_c 6.645
_cell_angle_alpha 90.00
_cell_angle_beta 90.00
_cell_angle_gamma 90.00
loop_
_atom_site_label
_atom_site_type_symbol
_atom_site_fract_x
_atom_site_fract_y
_atom_site_fract_z
K1 K 0.000 0.000 0.000
Zn1 Zn 0.000 0.000 0.500
Ni1 Ni 0.250 0.250 0.750

---

[15]
# KZnNi | Alexandria | PBE | optimized geometry
# V ... 414.8 Å³ per cell
# Total magnetic moment ... 3.70 μB/cell
# Formation energy from the elements ... 3.5 eV/f.u.
# Polymorph energy (0 for the lowest one) ... 0.962 eV per atom
# DOS(E_F) ... 2.24 states/eV/atom
# Theoretical density ... 2.61 g/cm3
data_KZnNi
_chemical_formula_sum 'K4 Zn4 Ni4'
_space_group_name_H-M_alt 'F -4 3 m'
_space_group_IT_number 216
_space_group_name_Hall 'F -4 2 3'
_cell_length_a 7.458
_cell_length_b 7.458
_cell_length_c 7.458
_cell_angle_alpha 90.00
_cell_angle_beta 90.00
_cell_angle_gamma 90.00
loop_
_atom_site_label
_atom_site_type_symbol
_atom_site_fract_x
_atom_site_fract_y
_atom_site_fract_z
K1 K 0.000 0.000 0.000
Zn1 Zn 0.250 0.250 0.250
Ni1 Ni 0.250 0.250 0.750